Entry 1:
CsIn2Re2 after structural relaxation, computed with PBE.

The structure in POSCAR format:
```
CsIn2Re2
1.0
5.314 0.000 0.000
0.000 5.314 0.000
2.657 2.657 4.635
In Cs Re
2 1 2
Cartesian
2.657 5.314 2.317
5.314 2.657 2.317
0.000 0.000 0.000
2.657 2.657 1.122
5.314 5.314 3.513
```

Properties
Energy of formation from the pure elements: 0.93 eV/atom
Total DFT energy (no corrections): -5.316 eV per atom
Energy relative to the lowest polymorph listed for this composition: 132 meV/atom
Total moment: 0.000 μB per formula unit

***

Entry 2:
MnAlSi after structural relaxation, computed with PBE.

The structure in POSCAR format:
```
MnAlSi
1.0
5.795 -0.012 0.012
5.174 2.610 0.021
0.621 0.140 2.618
Mn Al Si
1 1 1
Cartesian
7.585 1.795 0.878
0.738 0.168 2.589
3.887 0.916 1.802
```

Properties
Uncorrected formation energy: -0.066 eV per atom
Total DFT energy (no corrections): -6.178 eV per atom
Total moment: 1.633 μB per formula unit

***

Entry 3:
Rb2LaOsCl6 after structural relaxation, computed with PBE.

The structure in POSCAR format:
```
Rb2LaOsCl6
1.0
7.433 0.000 0.000
0.000 7.433 0.000
3.716 3.716 5.258
Cl Rb Os La
6 2 1 1
Cartesian
3.716 3.716 2.782
1.750 1.750 0.000
1.750 5.683 0.000
7.433 7.433 2.476
5.683 1.750 0.000
5.683 5.683 0.000
7.433 3.716 2.629
3.716 7.433 2.629
0.000 0.000 0.000
3.716 3.716 0.000
```

Properties
Uncorrected formation energy: -1.316 eV per atom
Total DFT energy (no corrections): -4.234 eV per atom
Total moment: 1.000 μB per formula unit

***

Entry 4:
CaPtS after structural relaxation, computed with PBE.

The structure in POSCAR format:
```
CaPtS
1.0
3.871 -0.001 0.001
0.013 7.747 0.060
0.006 0.872 4.321
Ca Pt S
2 2 2
Cartesian
3.502 6.401 4.261
3.500 1.427 0.777
1.575 3.465 2.909
1.564 0.848 2.972
1.560 3.577 0.630
1.564 6.487 2.072
```

Properties
Uncorrected formation energy: -1.105 eV per atom
Total DFT energy (no corrections): -5.162 eV per atom
Total moment: 0.000 μB per formula unit